HoZnNi2: optimized geometry, GGA-PBE.

E_tot (eV per atom): -4.629
DOS(E_F) (states/eV per atom): 0.84
Calculated density (Mg/m³): 9.30
Total magnetic moment (μB/f.u.): 0.00
SG: P4/mmm, No. 123

a = 3.2042 Å, b = 3.2042 Å, c = 6.0457 Å
α = 90.00°, β = 90.00°, γ = 90.00°
Closest atoms and distances in Å follow each position.
Element x y z (fractional)
Ho 0.0000 0.0000 0.0000  8 Ni 2.88, 2 Zn 3.02, 4 Ho 3.20
Zn 0.0000 0.0000 0.5000  8 Ni 2.59
Ni 0.5000 0.5000 0.2931  1 Ni 2.50, 4 Zn 2.59
Ni 0.5000 0.5000 0.7069  1 Ni 2.50, 4 Zn 2.59